A relaxed structure of Ti2WI, computed with PBE.

Properties
calculated density: 9.4 g/cm3
volume: 287 Å³ per cell
E above lowest polymorph: 0.000 eV/atom
calculated total energy: -6.9585 eV per atom
formation energy (no corrections): 615 meV/atom
D(E_F): 0.991 states/eV/atom

Cell and atoms, written as CIF:
```
data_Ti2WI
_cell_length_a 6.597
_cell_length_b 6.597
_cell_length_c 6.597
_cell_angle_alpha 90.00
_cell_angle_beta 90.00
_cell_angle_gamma 90.00
_symmetry_space_group_name_H-M 'F m -3 m'
_symmetry_Int_Tables_number 225
_symmetry_space_group_name_Hall '-F 4 2 3'
loop_
_atom_site_label
_atom_site_type_symbol
_atom_site_fract_x
_atom_site_fract_y
_atom_site_fract_z
_atom_site_occupancy
Ti1 Ti 0.250 0.250 0.250 1
W1 W 0.000 0.000 0.000 1
I1 I 0.000 0.000 0.500 1
```

A relaxed structure of TiWI2, computed with PBE.

Properties
calculated density: 10.2 g/cm3
volume: 316 Å³ per cell
E above lowest polymorph: 0.004 eV/atom
calculated total energy: -5.0306 eV per atom
formation energy (no corrections): 956 meV/atom
D(E_F): 1.450 states/eV/atom

Cell and atoms, written as CIF:
```
data_TiWI2
_cell_length_a 6.814
_cell_length_b 6.814
_cell_length_c 6.814
_cell_angle_alpha 90.00
_cell_angle_beta 90.00
_cell_angle_gamma 90.00
_symmetry_space_group_name_H-M 'F m -3 m'
_symmetry_Int_Tables_number 225
_symmetry_space_group_name_Hall '-F 4 2 3'
loop_
_atom_site_label
_atom_site_type_symbol
_atom_site_fract_x
_atom_site_fract_y
_atom_site_fract_z
_atom_site_occupancy
Ti1 Ti 0.000 0.000 0.000 1
W1 W 0.000 0.000 0.500 1
I1 I 0.250 0.250 0.250 1
```

D(E_F) of number 1 (Ti2WI)?
0.991 states/eV/atom